No. 1
Below is crystalline SrLiS2Cl at its relaxed geometry, with properties calculated at the PBE-GGA level.

```
data_SrLiS2Cl
_chemical_formula_sum 'Sr1 Li1 S2 Cl1'
_cell_length_a 4.4513
_cell_length_b 4.4513
_cell_length_c 5.4047
_cell_angle_alpha 90.00
_cell_angle_beta 90.00
_cell_angle_gamma 90.00
_space_group_name_H-M_alt 'P 1'
_space_group_IT_number 1
_space_group_name_Hall 'P 1'
loop_
_atom_site_label
_atom_site_fract_x
_atom_site_fract_y
_atom_site_fract_z
_atom_site_occupancy
Li1 0.0000 0.0000 0.0000 1
S1 0.5000 0.0000 0.0000 1
S2 0.0000 0.5000 0.0000 1
Sr1 0.5000 0.5000 0.5000 1
Cl1 0.0000 0.0000 0.5000 1
```

magnetization = 0.00 μB/cell
excess energy over the best structure of this formula in the dataset = 0.00 eV/f.u.
mass density = 3.0 g/cm3
formation energy without anion corrections = -1.101 eV/atom
raw total energy = -19.2 eV per cell


No. 2
Below is crystalline SrLiSCl2 at its relaxed geometry, with properties calculated at the PBE-GGA level.

```
data_SrLiSCl2
_chemical_formula_sum 'Sr1 Li1 S1 Cl2'
_cell_length_a 5.6413
_cell_length_b 5.6413
_cell_length_c 5.8138
_cell_angle_alpha 90.00
_cell_angle_beta 90.00
_cell_angle_gamma 90.00
_space_group_name_H-M_alt 'P 1'
_space_group_IT_number 1
_space_group_name_Hall 'P 1'
loop_
_atom_site_label
_atom_site_fract_x
_atom_site_fract_y
_atom_site_fract_z
_atom_site_occupancy
Sr1 0.0000 0.0000 0.0000 1
S1 0.0000 0.0000 0.5000 1
Cl1 0.0000 0.5000 0.0000 1
Cl2 0.5000 0.0000 0.0000 1
Li1 0.5000 0.5000 0.5000 1
```

magnetization = 1.00 μB/cell
excess energy over the best structure of this formula in the dataset = 1.38 eV/f.u.
mass density = 1.8 g/cm3
formation energy without anion corrections = -1.194 eV/atom
raw total energy = -17.4 eV per cell


No. 3
Below is crystalline LiTaS2Cl at its relaxed geometry, with properties calculated at the PBE-GGA level.

```
data_LiTaS2Cl
_chemical_formula_sum 'Li1 Ta1 S2 Cl1'
_cell_length_a 4.8139
_cell_length_b 4.8139
_cell_length_c 4.8878
_cell_angle_alpha 90.00
_cell_angle_beta 90.00
_cell_angle_gamma 90.00
_space_group_name_H-M_alt 'P 1'
_space_group_IT_number 1
_space_group_name_Hall 'P 1'
loop_
_atom_site_label
_atom_site_fract_x
_atom_site_fract_y
_atom_site_fract_z
_atom_site_occupancy
Cl1 0.0000 0.0000 0.5000 1
Li1 0.5000 0.5000 0.5000 1
Ta1 0.0000 0.0000 0.0000 1
S1 0.0000 0.5000 0.0000 1
S2 0.5000 0.0000 0.0000 1
```

magnetization = 0.00 μB/cell
excess energy over the best structure of this formula in the dataset = 0.00 eV/f.u.
mass density = 4.2 g/cm3
formation energy without anion corrections = -0.801 eV/atom
raw total energy = -27.9 eV per cell


No. 4
Below is crystalline LiTaSCl2 at its relaxed geometry, with properties calculated at the PBE-GGA level.

```
data_LiTaSCl2
_chemical_formula_sum 'Li1 Ta1 S1 Cl2'
_cell_length_a 4.2611
_cell_length_b 4.2611
_cell_length_c 4.8865
_cell_angle_alpha 90.00
_cell_angle_beta 90.00
_cell_angle_gamma 90.00
_space_group_name_H-M_alt 'P 1'
_space_group_IT_number 1
_space_group_name_Hall 'P 1'
loop_
_atom_site_label
_atom_site_fract_x
_atom_site_fract_y
_atom_site_fract_z
_atom_site_occupancy
Cl1 0.5000 0.0000 0.0000 1
Cl2 0.0000 0.5000 0.0000 1
S1 0.0000 0.0000 0.5000 1
Ta1 0.5000 0.5000 0.5000 1
Li1 0.0000 0.0000 0.0000 1
```

magnetization = 1.99 μB/cell
excess energy over the best structure of this formula in the dataset = 4.04 eV/f.u.
mass density = 5.4 g/cm3
formation energy without anion corrections = 0.057 eV/atom
raw total energy = -21.3 eV per cell


No. 5
Below is crystalline LiTaSCl2 at its relaxed geometry, with properties calculated at the PBE-GGA level.

```
data_LiTaSCl2
_chemical_formula_sum 'Li1 Ta1 S1 Cl2'
_cell_length_a 4.9106
_cell_length_b 4.9106
_cell_length_c 4.8029
_cell_angle_alpha 90.00
_cell_angle_beta 90.00
_cell_angle_gamma 90.00
_space_group_name_H-M_alt 'P 1'
_space_group_IT_number 1
_space_group_name_Hall 'P 1'
loop_
_atom_site_label
_atom_site_fract_x
_atom_site_fract_y
_atom_site_fract_z
_atom_site_occupancy
Cl1 0.0000 0.5000 0.0000 1
Cl2 0.5000 0.0000 0.0000 1
Ta1 0.0000 0.0000 0.0000 1
Li1 0.5000 0.5000 0.5000 1
S1 0.0000 0.0000 0.5000 1
```

magnetization = 0.37 μB/cell
excess energy over the best structure of this formula in the dataset = 0.00 eV/f.u.
mass density = 4.2 g/cm3
formation energy without anion corrections = -0.750 eV/atom
raw total energy = -25.3 eV per cell


No. 6
Below is crystalline LiTaS2Cl at its relaxed geometry, with properties calculated at the PBE-GGA level.

```
data_LiTaS2Cl
_chemical_formula_sum 'Li1 Ta1 S2 Cl1'
_cell_length_a 4.5071
_cell_length_b 4.5071
_cell_length_c 4.1192
_cell_angle_alpha 90.00
_cell_angle_beta 90.00
_cell_angle_gamma 90.00
_space_group_name_H-M_alt 'P 1'
_space_group_IT_number 1
_space_group_name_Hall 'P 1'
loop_
_atom_site_label
_atom_site_fract_x
_atom_site_fract_y
_atom_site_fract_z
_atom_site_occupancy
Cl1 0.0000 0.0000 0.5000 1
S1 0.5000 0.0000 0.0000 1
S2 0.0000 0.5000 0.0000 1
Ta1 0.5000 0.5000 0.5000 1
Li1 0.0000 0.0000 0.0000 1
```

magnetization = 1.15 μB/cell
excess energy over the best structure of this formula in the dataset = 5.50 eV/f.u.
mass density = 5.7 g/cm3
formation energy without anion corrections = 0.299 eV/atom
raw total energy = -22.4 eV per cell


No. 7
Below is crystalline Li2TcSCl at its relaxed geometry, with properties calculated at the PBE-GGA level.

```
data_Li2TcSCl
_chemical_formula_sum 'Li2 Tc1 S1 Cl1'
_cell_length_a 4.7313
_cell_length_b 4.5636
_cell_length_c 4.7313
_cell_angle_alpha 90.00
_cell_angle_beta 90.00
_cell_angle_gamma 90.00
_space_group_name_H-M_alt 'P 1'
_space_group_IT_number 1
_space_group_name_Hall 'P 1'
loop_
_atom_site_label
_atom_site_fract_x
_atom_site_fract_y
_atom_site_fract_z
_atom_site_occupancy
Li1 0.5000 0.0000 0.0000 1
Li2 0.0000 0.0000 0.5000 1
S1 0.0000 0.0000 0.0000 1
Tc1 0.0000 0.5000 0.0000 1
Cl1 0.5000 0.5000 0.5000 1
```

magnetization = 3.25 μB/cell
mass density = 2.9 g/cm3
formation energy without anion corrections = -0.308 eV/atom
raw total energy = -21.7 eV per cell


No. 8
Below is crystalline LiTcSCl2 at its relaxed geometry, with properties calculated at the PBE-GGA level.

```
data_LiTcSCl2
_chemical_formula_sum 'Li1 Tc1 S1 Cl2'
_cell_length_a 5.0318
_cell_length_b 4.4562
_cell_length_c 5.0318
_cell_angle_alpha 90.00
_cell_angle_beta 90.00
_cell_angle_gamma 90.00
_space_group_name_H-M_alt 'P 1'
_space_group_IT_number 1
_space_group_name_Hall 'P 1'
loop_
_atom_site_label
_atom_site_fract_x
_atom_site_fract_y
_atom_site_fract_z
_atom_site_occupancy
S1 0.0000 0.5000 0.0000 1
Li1 0.5000 0.5000 0.5000 1
Cl1 0.0000 0.0000 0.5000 1
Cl2 0.5000 0.0000 0.0000 1
Tc1 0.0000 0.0000 0.0000 1
```

magnetization = 0.78 μB/cell
excess energy over the best structure of this formula in the dataset = 0.00 eV/f.u.
mass density = 3.1 g/cm3
formation energy without anion corrections = -0.474 eV/atom
raw total energy = -22.5 eV per cell


No. 9
Below is crystalline LiTcSCl2 at its relaxed geometry, with properties calculated at the PBE-GGA level.

```
data_LiTcSCl2
_chemical_formula_sum 'Li1 Tc1 S1 Cl2'
_cell_length_a 4.4341
_cell_length_b 4.4341
_cell_length_c 4.9593
_cell_angle_alpha 90.00
_cell_angle_beta 90.00
_cell_angle_gamma 90.00
_space_group_name_H-M_alt 'P 1'
_space_group_IT_number 1
_space_group_name_Hall 'P 1'
loop_
_atom_site_label
_atom_site_fract_x
_atom_site_fract_y
_atom_site_fract_z
_atom_site_occupancy
Cl1 0.5000 0.0000 0.0000 1
Cl2 0.0000 0.5000 0.0000 1
Li1 0.0000 0.0000 0.0000 1
S1 0.0000 0.0000 0.5000 1
Tc1 0.5000 0.5000 0.5000 1
```

magnetization = 3.99 μB/cell
excess energy over the best structure of this formula in the dataset = 3.35 eV/f.u.
mass density = 3.5 g/cm3
formation energy without anion corrections = 0.195 eV/atom
raw total energy = -19.1 eV per cell


No. 10
Below is crystalline LiTiSCl2 at its relaxed geometry, with properties calculated at the PBE-GGA level.

```
data_LiTiSCl2
_chemical_formula_sum 'Li1 Ti1 S1 Cl2'
_cell_length_a 4.3453
_cell_length_b 4.3453
_cell_length_c 4.9319
_cell_angle_alpha 90.00
_cell_angle_beta 90.00
_cell_angle_gamma 90.00
_space_group_name_H-M_alt 'P 1'
_space_group_IT_number 1
_space_group_name_Hall 'P 1'
loop_
_atom_site_label
_atom_site_fract_x
_atom_site_fract_y
_atom_site_fract_z
_atom_site_occupancy
Ti1 0.5000 0.5000 0.5000 1
Cl1 0.0000 0.5000 0.0000 1
Cl2 0.5000 0.0000 0.0000 1
S1 0.0000 0.0000 0.5000 1
Li1 0.0000 0.0000 0.0000 1
```

magnetization = 0.99 μB/cell
excess energy over the best structure of this formula in the dataset = 3.67 eV/f.u.
mass density = 2.8 g/cm3
formation energy without anion corrections = -0.468 eV/atom
raw total energy = -20.0 eV per cell


No. 11
Below is crystalline LiTiSCl2 at its relaxed geometry, with properties calculated at the PBE-GGA level.

```
data_LiTiSCl2
_chemical_formula_sum 'Li1 Ti1 S1 Cl2'
_cell_length_a 4.9188
_cell_length_b 4.9188
_cell_length_c 4.7235
_cell_angle_alpha 90.00
_cell_angle_beta 90.00
_cell_angle_gamma 90.00
_space_group_name_H-M_alt 'P 1'
_space_group_IT_number 1
_space_group_name_Hall 'P 1'
loop_
_atom_site_label
_atom_site_fract_x
_atom_site_fract_y
_atom_site_fract_z
_atom_site_occupancy
Ti1 0.0000 0.0000 0.0000 1
Cl1 0.5000 0.0000 0.0000 1
Cl2 0.0000 0.5000 0.0000 1
Li1 0.5000 0.5000 0.5000 1
S1 0.0000 0.0000 0.5000 1
```

magnetization = 0.94 μB/cell
excess energy over the best structure of this formula in the dataset = 0.00 eV/f.u.
mass density = 2.3 g/cm3
formation energy without anion corrections = -1.201 eV/atom
raw total energy = -23.6 eV per cell


No. 12
Below is crystalline LiTiS2Cl at its relaxed geometry, with properties calculated at the PBE-GGA level.

```
data_LiTiS2Cl
_chemical_formula_sum 'Li1 Ti1 S2 Cl1'
_cell_length_a 4.6998
_cell_length_b 4.6998
_cell_length_c 4.9379
_cell_angle_alpha 90.00
_cell_angle_beta 90.00
_cell_angle_gamma 90.00
_space_group_name_H-M_alt 'P 1'
_space_group_IT_number 1
_space_group_name_Hall 'P 1'
loop_
_atom_site_label
_atom_site_fract_x
_atom_site_fract_y
_atom_site_fract_z
_atom_site_occupancy
Ti1 0.0000 0.0000 0.0000 1
Cl1 0.0000 0.0000 0.5000 1
S1 0.5000 0.0000 0.0000 1
S2 0.0000 0.5000 0.0000 1
Li1 0.5000 0.5000 0.5000 1
```

magnetization = 0.00 μB/cell
excess energy over the best structure of this formula in the dataset = 0.00 eV/f.u.
mass density = 2.4 g/cm3
formation energy without anion corrections = -1.047 eV/atom
raw total energy = -25.1 eV per cell